Version one
VASP calculation (GGA-PBE) on CsGa2 after structural relaxation.

extended XYZ file:
```
6
Lattice="0.0000 4.4675 4.4675 4.4675 0.0000 4.4675 4.4675 4.4675 0.0000" Properties=species:S:1:pos:R:3 pbc="T T T"
Cs 1.1169 1.1169 1.1169
Cs 7.8181 7.8181 7.8181
Ga 4.4675 2.2337 2.2337
Ga 2.2337 4.4675 2.2337
Ga 2.2337 2.2337 4.4675
Ga 4.4675 4.4675 4.4675
```

Its space group is Fd-3m (227).

Version two
VASP calculation (GGA-PBE) on CsGa2 after structural relaxation.

extended XYZ file:
```
6
Lattice="7.7168 -2.1190 0.0000 7.7168 2.1190 0.0000 -1.8570 0.0000 6.8120" Properties=species:S:1:pos:R:3 pbc="T T T"
Cs 0.8906 0.0000 2.1670
Cs 12.6859 0.0000 4.6450
Ga 1.8127 0.0000 6.0262
Ga 5.5370 0.0000 1.2762
Ga 8.0396 0.0000 5.5359
Ga 11.7639 0.0000 0.7858
```

Its space group is C2/m (12).

It turns out version two is the most stable, with the second structure 170 meV/atom higher.

Version one
VASP calculation (GGA-PBE) on CsGaGe3 after structural relaxation.

extended XYZ file:
```
20
Lattice="9.6160 0.0000 0.0000 0.0000 7.0871 0.0000 -7.1999 0.0000 9.3942" Properties=species:S:1:pos:R:3 pbc="T T T"
Cs 0.5069 1.7712 0.5242
Cs -3.0931 1.7724 5.2213
Cs 5.5092 5.3147 4.1729
Cs 1.9092 5.3160 8.8701
Ga 2.0633 4.6730 3.0199
Ga -1.5367 5.9577 7.7171
Ga 3.9528 1.1295 1.6772
Ga 0.3528 2.4141 6.3743
Ge -3.8540 4.9201 8.1995
Ge -0.2541 5.7106 3.5024
Ge 0.4818 1.0620 4.2138
Ge -3.1182 2.4816 8.9110
Ge -0.1757 4.8510 5.9272
Ge 3.4243 5.7797 1.2301
Ge -1.0082 1.3074 8.1641
Ge 2.5918 2.2361 3.4670
Ge 5.5343 4.6055 0.4833
Ge 1.9344 6.0252 5.1804
Ge 2.6702 1.3765 5.8918
Ge 6.2702 2.1670 1.1947
```

Its space group is P2_1/c (14).

Version two
VASP calculation (GGA-PBE) on CsGaGe3 after structural relaxation.

extended XYZ file:
```
5
Lattice="5.8131 0.0000 0.0000 0.0000 5.8131 0.0000 0.0000 0.0000 5.8131" Properties=species:S:1:pos:R:3 pbc="T T T"
Cs 0.0000 0.0000 0.0000
Ga 2.9066 2.9066 2.9066
Ge 0.0000 0.0000 2.9066
Ge 0.0000 2.9066 0.0000
Ge 2.9066 0.0000 0.0000
```

Its space group is Pm-3m (221).

Version three
VASP calculation (GGA-PBE) on CsGaGe3 after structural relaxation.

extended XYZ file:
```
5
Lattice="5.2635 0.0000 0.0000 0.0000 5.2635 0.0000 0.0000 0.0000 5.2635" Properties=species:S:1:pos:R:3 pbc="T T T"
Cs 0.0000 0.0000 0.0000
Ga 2.6318 2.6318 2.6318
Ge 0.0000 2.6318 2.6318
Ge 2.6318 0.0000 2.6318
Ge 2.6318 2.6318 0.0000
```

Its space group is Pm-3m (221).

It turns out version one is the most stable, with the second structure 542 meV/atom higher.

Version one
VASP calculation (GGA-PBE) on CsGa3Ge3 after structural relaxation.

extended XYZ file:
```
14
Lattice="3.7209 2.1483 8.8034 -3.7209 2.1483 8.8034 0.0000 -4.2965 8.8034" Properties=species:S:1:pos:R:3 pbc="T T T"
Cs 0.0000 0.0000 4.4022
Cs 0.0000 0.0000 22.0079
Ga -2.4840 -0.0035 9.9763
Ga -1.2390 -2.1529 16.4339
Ga 1.2450 -2.1494 9.9763
Ga -1.2450 2.1494 16.4339
Ga 1.2390 2.1529 9.9763
Ga 2.4840 0.0035 16.4339
Ge -1.2302 -2.1372 10.3718
Ge -2.4660 -0.0032 16.0383
Ge -1.2357 2.1340 10.3718
Ge 1.2357 -2.1340 16.0383
Ge 2.4660 0.0032 10.3718
Ge 1.2302 2.1372 16.0383
```

Its space group is R-3 (148).

Version two
VASP calculation (GGA-PBE) on CsGa3Ge3 after structural relaxation.

extended XYZ file:
```
14
Lattice="7.2113 0.0000 0.0000 0.0000 7.2113 0.0000 0.0000 0.0000 7.2113" Properties=species:S:1:pos:R:3 pbc="T T T"
Cs 0.0000 0.0000 0.0000
Cs 3.6057 3.6057 3.6057
Ga 0.0000 1.8028 3.6057
Ga 0.0000 5.4085 3.6057
Ga 1.8028 3.6057 0.0000
Ga 3.6057 0.0000 1.8028
Ga 3.6057 0.0000 5.4085
Ga 5.4085 3.6057 0.0000
Ge 0.0000 3.6057 1.8028
Ge 0.0000 3.6057 5.4085
Ge 1.8028 0.0000 3.6057
Ge 3.6057 1.8028 0.0000
Ge 3.6057 5.4085 0.0000
Ge 5.4085 0.0000 3.6057
```

Its space group is Pm-3n (223).

It turns out version two is the most stable, with the second structure 117 meV/atom higher.

Version one
VASP calculation (GGA-PBE) on CsGa4Ge2 after structural relaxation.

extended XYZ file:
```
7
Lattice="2.4089 -8.1526 0.0000 2.4089 8.1526 0.0000 0.0000 0.0000 4.6940" Properties=species:S:1:pos:R:3 pbc="T T T"
Cs 0.0000 0.0000 0.0000
Ga 2.4089 4.9425 2.3470
Ga 2.4089 3.3774 0.0000
Ga 2.4089 -3.3774 0.0000
Ga 2.4089 -4.9425 2.3470
Ge 2.4089 2.0784 2.3470
Ge 2.4089 -2.0784 2.3470
```

Its space group is Cmmm (65).

Version two
VASP calculation (GGA-PBE) on CsGa4Ge2 after structural relaxation.

extended XYZ file:
```
7
Lattice="2.3766 1.3721 9.2159 -2.3766 1.3721 9.2159 0.0000 -2.7442 9.2159" Properties=species:S:1:pos:R:3 pbc="T T T"
Cs 0.0000 0.0000 0.0000
Ga 0.0000 0.0000 3.9076
Ga 0.0000 0.0000 12.4251
Ga 0.0000 0.0000 15.2227
Ga 0.0000 0.0000 23.7402
Ge 0.0000 0.0000 6.5904
Ge 0.0000 0.0000 21.0574
```

Its space group is R-3m (166).

It turns out version one is the most stable, with the second structure 57 meV/atom higher.

Version one
VASP calculation (GGA-PBE) on Cs3GaGe after structural relaxation.

extended XYZ file:
```
5
Lattice="7.0614 0.0000 0.0000 0.0000 7.0614 0.0000 0.0000 0.0000 7.0614" Properties=species:S:1:pos:R:3 pbc="T T T"
Cs 0.0000 0.0000 3.5307
Cs 0.0000 3.5307 0.0000
Cs 3.5307 0.0000 0.0000
Ga 3.5307 3.5307 3.5307
Ge 0.0000 0.0000 0.0000
```

Its space group is Pm-3m (221).

Version two
VASP calculation (GGA-PBE) on Cs3GaGe after structural relaxation.

extended XYZ file:
```
10
Lattice="6.1981 -5.6856 0.0000 6.1981 5.6856 0.0000 -5.9633 0.0000 7.5726" Properties=species:S:1:pos:R:3 pbc="T T T"
Cs -1.1336 0.0000 1.7726
Cs -1.2111 2.2893 5.7174
Cs -1.2111 -2.2893 5.7174
Cs 7.6439 2.2893 1.8552
Cs 7.6439 -2.2893 1.8552
Cs 7.5664 0.0000 5.8000
Ga 3.4417 0.0000 1.4662
Ga 2.9911 0.0000 6.1064
Ge 1.9313 0.0000 3.8415
Ge 4.5015 0.0000 3.7311
```

Its space group is C2/m (12).

It turns out version two is the most stable, with the second structure 433 meV/atom higher.

Version one
VASP calculation (GGA-PBE) on Cs2GaGe after structural relaxation.

extended XYZ file:
```
8
Lattice="-2.5729 2.5729 12.5657 2.5729 -2.5729 12.5657 2.5729 2.5729 -12.5657" Properties=species:S:1:pos:R:3 pbc="T T T"
Cs 3.8594 1.2710 -3.1414
Cs 1.2710 1.2865 3.1414
Cs -1.2865 1.3019 9.4243
Cs 1.3019 1.2865 15.7071
Ga 0.0000 0.0000 0.0000
Ga 0.0000 2.5729 6.2828
Ge 2.5729 0.0000 6.2828
Ge 0.0000 0.0000 12.5657
```

Its space group is I-42d (122).

Version two
VASP calculation (GGA-PBE) on Cs2GaGe after structural relaxation.

extended XYZ file:
```
4
Lattice="6.0709 -3.4744 0.0000 6.0709 3.4744 0.0000 -1.5848 0.0000 4.1101" Properties=species:S:1:pos:R:3 pbc="T T T"
Cs 1.8739 0.0000 0.7286
Cs 8.6830 0.0000 3.3815
Ga 5.2784 0.9375 2.0550
Ge 6.0709 -0.1989 0.0000
```

Its space group is C2 (5).

Version three
VASP calculation (GGA-PBE) on Cs2GaGe after structural relaxation.

extended XYZ file:
```
4
Lattice="0.0000 4.4010 4.4010 4.4010 0.0000 4.4010 4.4010 4.4010 0.0000" Properties=species:S:1:pos:R:3 pbc="T T T"
Cs 2.2005 2.2005 2.2005
Cs 6.6015 6.6015 6.6015
Ga 0.0000 0.0000 0.0000
Ge 4.4010 4.4010 4.4010
```

Its space group is Fm-3m (225).

It turns out version two is the most stable, with the second structure 446 meV/atom higher.

Version one
VASP calculation (GGA-PBE) on Cs2GaH after structural relaxation.

extended XYZ file:
```
4
Lattice="0.0000 4.3681 4.3681 4.3681 0.0000 4.3681 4.3681 4.3681 0.0000" Properties=species:S:1:pos:R:3 pbc="T T T"
Cs 2.1840 2.1840 2.1840
Cs 6.5521 6.5521 6.5521
Ga 0.0000 0.0000 0.0000
H 4.3681 4.3681 4.3681
```

Its space group is Fm-3m (225).

Version two
VASP calculation (GGA-PBE) on Cs2GaH after structural relaxation.

extended XYZ file:
```
4
Lattice="2.0934 1.2086 11.0043 -2.0934 1.2086 11.0043 0.0000 -2.4172 11.0043" Properties=species:S:1:pos:R:3 pbc="T T T"
Cs 0.0000 0.0000 3.6241
Cs 0.0000 0.0000 29.3888
Ga 0.0000 0.0000 0.0000
H 0.0000 0.0000 16.5064
```

Its space group is R-3m (166).

It turns out version two is the most stable, with the second structure 103 meV/atom higher.

Version one
VASP calculation (GGA-PBE) on CsGa2H after structural relaxation.

extended XYZ file:
```
8
Lattice="5.0826 0.0000 0.0000 -2.5413 4.4017 0.0000 0.0000 0.0000 8.5364" Properties=species:S:1:pos:R:3 pbc="T T T"
Cs 0.0000 0.0000 2.1341
Cs 0.0000 0.0000 6.4023
Ga 0.0000 2.9344 0.1879
Ga 0.0000 2.9344 4.0803
Ga 2.5413 1.4672 4.4561
Ga 2.5413 1.4672 8.3485
H 0.0000 2.9344 2.1341
H 2.5413 1.4672 6.4023
```

Its space group is P6_3/mmc (194).

Version two
VASP calculation (GGA-PBE) on CsGa2H after structural relaxation.

extended XYZ file:
```
4
Lattice="0.0000 3.8869 3.8869 3.8869 0.0000 3.8869 3.8869 3.8869 0.0000" Properties=species:S:1:pos:R:3 pbc="T T T"
Cs 0.0000 0.0000 0.0000
Ga 1.9434 1.9434 1.9434
Ga 5.8303 5.8303 5.8303
H 3.8869 3.8869 3.8869
```

Its space group is Fm-3m (225).

It turns out version one is the most stable, with the second structure 850 meV/atom higher.

Version one
VASP calculation (GGA-PBE) on CsRb2GaH after structural relaxation.

extended XYZ file:
```
5
Lattice="6.1524 0.0000 0.0000 0.0000 6.1524 0.0000 0.0000 0.0000 5.7528" Properties=species:S:1:pos:R:3 pbc="T T T"
Cs 0.0000 0.0000 0.0000
Rb 0.0000 3.0762 2.8764
Rb 3.0762 0.0000 2.8764
Ga 3.0762 3.0762 0.0000
H 3.0762 3.0762 2.8764
```

Its space group is P4/mmm (123).

Version two
VASP calculation (GGA-PBE) on CsRb2GaH after structural relaxation.

extended XYZ file:
```
5
Lattice="8.2155 0.0000 0.0000 0.0000 8.2155 0.0000 0.0000 0.0000 6.3762" Properties=species:S:1:pos:R:3 pbc="T T T"
Cs 0.0000 0.0000 0.0000
Rb 0.0000 4.1078 0.0000
Rb 4.1078 0.0000 0.0000
Ga 0.0000 0.0000 3.1881
H 4.1078 4.1078 3.1881
```

Its space group is P4/mmm (123).

It turns out version one is the most stable, with the second structure 582 meV/atom higher.

Version one
VASP calculation (GGA-PBE) on CsHf3Ga after structural relaxation.

extended XYZ file:
```
5
Lattice="5.2532 0.0000 0.0000 0.0000 5.2532 0.0000 0.0000 0.0000 5.2532" Properties=species:S:1:pos:R:3 pbc="T T T"
Cs 0.0000 0.0000 0.0000
Hf 0.0000 0.0000 2.6266
Hf 0.0000 2.6266 0.0000
Hf 2.6266 0.0000 0.0000
Ga 2.6266 2.6266 2.6266
```

Its space group is Pm-3m (221).

Version two
VASP calculation (GGA-PBE) on CsHf3Ga after structural relaxation.

extended XYZ file:
```
5
Lattice="5.2286 0.0000 0.0000 0.0000 5.2286 0.0000 0.0000 0.0000 5.2286" Properties=species:S:1:pos:R:3 pbc="T T T"
Cs 0.0000 0.0000 0.0000
Hf 0.0000 2.6143 2.6143
Hf 2.6143 0.0000 2.6143
Hf 2.6143 2.6143 0.0000
Ga 2.6143 2.6143 2.6143
```

Its space group is Pm-3m (221).

It turns out version two is the most stable, with the second structure 1213 meV/atom higher.

Version one
VASP calculation (GGA-PBE) on CsGa2Hg2 after structural relaxation.

extended XYZ file:
```
10
Lattice="9.3221 0.0000 0.0000 0.0000 9.3221 0.0000 0.0000 0.0000 3.3828" Properties=species:S:1:pos:R:3 pbc="T T T"
Cs 0.0000 0.0000 0.0000
Cs 4.6611 4.6611 0.0000
Ga 1.3011 3.3599 1.6914
Ga 3.3599 8.0210 1.6914
Ga 5.9622 1.3011 1.6914
Ga 8.0210 5.9622 1.6914
Hg 1.2919 5.9529 0.0000
Hg 3.3692 1.2919 0.0000
Hg 5.9529 8.0302 0.0000
Hg 8.0302 3.3692 0.0000
```

Its space group is P4/mbm (127).

Version two
VASP calculation (GGA-PBE) on CsGa2Hg2 after structural relaxation.

extended XYZ file:
```
10
Lattice="8.9829 0.0000 0.0000 0.0000 8.9829 0.0000 0.0000 0.0000 3.6196" Properties=species:S:1:pos:R:3 pbc="T T T"
Cs 0.0000 0.0000 0.0000
Cs 4.4915 4.4915 0.0000
Ga 0.9640 3.5274 0.0000
Ga 3.5274 8.0189 0.0000
Ga 5.4555 0.9640 0.0000
Ga 8.0189 5.4555 0.0000
Hg 1.6336 6.1251 1.8098
Hg 2.8579 1.6336 1.8098
Hg 6.1251 7.3493 1.8098
Hg 7.3493 2.8579 1.8098
```

Its space group is P4/mbm (127).

It turns out version two is the most stable, with the second structure 31 meV/atom higher.